[1]
Entry from Alexandria: an optimized crystal structure of LaBe2Si (GGA-PBE).

The calculation puts the calculated density at 4.00 g/cm3. Its crystal system is orthorhombic. The calculation puts the energy at -4.55 eV/atom. The energy relative to the elements, uncorrected is -0.104 eV/atom.

It has space group Pmmm (No. 47), with a = 3.9241 Å, b = 4.3606 Å, c = 4.4834 Å, α = 90.00°, β = 90.00° and γ = 90.00°. The asymmetric unit holds La at (0.0000, 0.0000, 0.0000), Be at (0.5000, 0.2479, 0.5000) and Si at (0.0000, 0.5000, 0.5000).

---

[2]
Entry from Alexandria: an optimized crystal structure of LaBeSi (GGA-PBE).

The calculation puts the calculated density at 5.09 g/cm3. Its crystal system is tetragonal. The calculation puts the energy at -4.67 eV/atom. The energy relative to the elements, uncorrected is 0.021 eV/atom.

It has space group I4mm (No. 107), with a = 3.2492 Å, b = 3.2492 Å, c = 10.8847 Å, α = 90.00°, β = 90.00° and γ = 90.00°. The asymmetric unit holds La at (0.0000, 0.0000, 0.0000), Be at (0.0000, 0.0000, 0.7046) and Si at (0.0000, 0.0000, 0.2893).

---

[3]
Entry from Alexandria: an optimized crystal structure of La3Be2Si4 (GGA-PBE).

The calculation puts the calculated density at 4.93 g/cm3. Its crystal system is monoclinic. The calculation puts the energy at -5.56 eV/atom. The energy relative to the elements, uncorrected is -0.683 eV/atom.

It has space group C2/m (No. 12), with a = 11.2863 Å, b = 3.9940 Å, c = 8.2147 Å, α = 90.00°, β = 95.02° and γ = 90.00°. The asymmetric unit holds La at (0.0000, 0.0000, 0.0000), La at (0.1646, 0.5000, 0.6673), Be at (0.1092, 0.5000, 0.2804), Si at (0.0605, 0.0000, 0.3842) and Si at (0.2166, 0.5000, 0.0638).

---

[4]
Entry from Alexandria: an optimized crystal structure of La3Be2Si3 (GGA-PBE).

The calculation puts the calculated density at 5.03 g/cm3. Its crystal system is orthorhombic. The calculation puts the energy at -5.36 eV/atom. The energy relative to the elements, uncorrected is -0.548 eV/atom.

It has space group Cmcm (No. 63), with a = 3.9673 Å, b = 11.2540 Å, c = 15.3524 Å, α = 90.00°, β = 90.00° and γ = 90.00°. The asymmetric unit holds La at (0.0000, 0.0269, 0.2500), La at (0.0000, 0.3438, 0.0923), Be at (0.0000, 0.3708, 0.6189), Si at (0.0000, 0.0719, 0.0575) and Si at (0.0000, 0.2568, 0.7500).

---

[5]
Entry from Alexandria: an optimized crystal structure of LaBeSi2 (GGA-PBE).

The calculation puts the calculated density at 4.55 g/cm3. Its crystal system is trigonal. The calculation puts the energy at -4.55 eV/atom. The energy relative to the elements, uncorrected is 0.326 eV/atom.

It has space group R-3m (No. 166, hexagonal axes), with a = 3.2094 Å, b = 3.2094 Å, c = 25.0509 Å, α = 90.00°, β = 90.00° and γ = 120.00°. The asymmetric unit holds La at (0.0000, 0.0000, 0.0000), Be at (0.0000, 0.0000, 0.5000) and Si at (0.0000, 0.0000, 0.2280).

---

[6]
Entry from Alexandria: an optimized crystal structure of LaBeSi2 (GGA-PBE).

The calculation puts the calculated density at 4.38 g/cm3. Its crystal system is orthorhombic. The calculation puts the energy at -5.05 eV/atom. The energy relative to the elements, uncorrected is -0.177 eV/atom.

It has space group Imm2 (No. 44), with a = 3.7482 Å, b = 3.7703 Å, c = 10.9614 Å, α = 90.00°, β = 90.00° and γ = 90.00°. The asymmetric unit holds La at (0.0000, 0.0000, 0.0000), Be at (0.0000, 0.5000, 0.2474), Si at (0.0000, 0.0000, 0.3652) and Si at (0.0000, 0.5000, 0.7248).

---

[7]
Entry from Alexandria: an optimized crystal structure of La2BeSi (GGA-PBE).

The excess energy over the best structure of this formula in the dataset is 0.0 meV per atom. The calculation puts the calculated density at 5.33 g/cm3. Its crystal system is monoclinic. The calculation puts the energy at -5.13 eV/atom. The energy relative to the elements, uncorrected is -0.376 eV/atom.

It has space group Pm (No. 6), with a = 4.3947 Å, b = 3.9494 Å, c = 6.0691 Å, α = 90.00°, β = 111.21° and γ = 90.00°. The asymmetric unit holds La at (0.0000, 0.0000, 0.0000), La at (0.2874, 0.5000, 0.5748), Be at (0.5960, 0.5000, 0.1902) and Si at (0.7000, 0.0000, 0.4005).

---

[8]
Entry from Alexandria: an optimized crystal structure of La2BeSi (GGA-PBE).

The excess energy over the best structure of this formula in the dataset is 420.4 meV per atom. The calculation puts the calculated density at 5.13 g/cm3. Its crystal system is orthorhombic. The calculation puts the energy at -4.71 eV/atom. The energy relative to the elements, uncorrected is 0.044 eV/atom.

It has space group Cmm2 (No. 35), with a = 4.0803 Å, b = 5.7308 Å, c = 8.7259 Å, α = 90.00°, β = 90.00° and γ = 90.00°. The asymmetric unit holds La at (0.0000, 0.0000, 0.0000), La at (0.0000, 0.5000, 0.3911), Be at (0.0000, 0.0000, 0.6430) and Si at (0.0000, 0.5000, 0.7473).

---

[9]
Entry from Alexandria: an optimized crystal structure of LaBe2Si (GGA-PBE).

The calculation puts the calculated density at 4.32 g/cm3. Its crystal system is monoclinic. The calculation puts the energy at -4.54 eV/atom. The energy relative to the elements, uncorrected is -0.088 eV/atom.

It has space group Pm (No. 6), with a = 4.0870 Å, b = 3.8105 Å, c = 4.7190 Å, α = 90.00°, β = 104.48° and γ = 90.00°. The asymmetric unit holds La at (0.0000, 0.0000, 0.0000), Be at (0.5190, 0.0000, 0.4848), Be at (0.7224, 0.5000, 0.4026) and Si at (0.2950, 0.5000, 0.6030).

---

[10]
Entry from Alexandria: an optimized crystal structure of La2BeSi3 (GGA-PBE).

The excess energy over the best structure of this formula in the dataset is 18.5 meV per atom. The calculation puts the calculated density at 4.96 g/cm3. Its crystal system is orthorhombic. The calculation puts the energy at -5.66 eV/atom. The energy relative to the elements, uncorrected is -0.681 eV/atom.

It has space group Pmm2 (No. 25), with a = 4.0187 Å, b = 4.4727 Å, c = 6.9086 Å, α = 90.00°, β = 90.00° and γ = 90.00°. The asymmetric unit holds La at (0.0000, 0.0000, 0.0000), La at (0.5000, 0.0000, 0.4965), Be at (0.0000, 0.5000, 0.6715), Si at (0.0000, 0.5000, 0.3474), Si at (0.5000, 0.5000, 0.1622) and Si at (0.5000, 0.5000, 0.8176).

---

[11]
Entry from Alexandria: an optimized crystal structure of LaBe2Si (GGA-PBE).

The calculation puts the calculated density at 4.52 g/cm3. Its crystal system is trigonal. The calculation puts the energy at -4.71 eV/atom. The energy relative to the elements, uncorrected is -0.261 eV/atom.

It has space group R3m (No. 160, hexagonal axes), with a = 3.7904 Å, b = 3.7904 Å, c = 16.3735 Å, α = 90.00°, β = 90.00° and γ = 120.00°. The asymmetric unit holds La at (0.0000, 0.0000, 0.0000), Be at (0.0000, 0.0000, 0.4841), Be at (0.0000, 0.0000, 0.8038) and Si at (0.0000, 0.0000, 0.1964).

---

[12]
Entry from Alexandria: an optimized crystal structure of LaBe2Si (GGA-PBE).

The calculation puts the calculated density at 4.22 g/cm3. Its crystal system is orthorhombic. The calculation puts the energy at -4.47 eV/atom. The energy relative to the elements, uncorrected is -0.019 eV/atom.

It has space group Imm2 (No. 44), with a = 3.7182 Å, b = 3.7285 Å, c = 10.4959 Å, α = 90.00°, β = 90.00° and γ = 90.00°. The asymmetric unit holds La at (0.0000, 0.0000, 0.0000), Be at (0.0000, 0.0000, 0.3514), Be at (0.0000, 0.5000, 0.2651) and Si at (0.0000, 0.5000, 0.7417).